## Pr3Y2Sc (PBE)

Data for crystalline Pr3Y2Sc at its relaxed geometry.

Geometry as extended XYZ:
```
12
Lattice="-1.9479 -5.0846 3.4878 0.4915 -4.7060 -6.5859 7.4726 -3.1266 -0.3847" Properties=species:S:1:pos:R:3 pbc="T T T"
Pr 1.5526 -9.4048 -1.9347
Pr 1.3475 -5.7029 -2.6467
Pr 4.0455 -8.8408 0.2797
Pr 3.8404 -5.1389 -0.4323
Pr 6.0597 -10.5670 -4.1303
Pr 0.3142 -1.4163 0.0070
Y 3.3465 -7.8325 -4.4239
Y -0.5817 -7.4692 -0.0941
Y 5.9062 -7.2534 -2.1501
Y 1.9779 -6.8901 2.1796
Sc 6.2726 -7.0430 -5.2676
Sc 0.2311 -4.6014 0.9118
```

Computed properties:
Symmetry: Cmc2_1
DFT formation energy in eV/atom: 0.213
Offset from the most stable computed form in meV/atom: 171.5

***

## Pr4YSc2 (PBE)

Data for crystalline Pr4YSc2 at its relaxed geometry.

Geometry as extended XYZ:
```
14
Lattice="7.5567 -2.4024 -0.8168 -6.0265 5.1533 -0.8168 2.7986 5.0311 15.9442" Properties=species:S:1:pos:R:3 pbc="T T T"
Pr 2.4777 2.3045 6.3454
Pr 5.0759 -0.5653 0.4922
Pr 6.0868 1.2520 5.8463
Pr 2.2783 1.9460 -0.0070
Pr 2.0505 5.8360 14.3176
Pr -1.7580 6.5300 8.4643
Pr -0.7472 8.3472 13.8184
Pr 1.8511 5.4775 7.9651
Y 7.4439 -0.6927 3.1692
Y -3.1151 8.4747 11.1413
Sc 1.3117 6.0122 11.1413
Sc 6.0442 3.3798 11.1413
Sc 3.0171 1.7697 3.1692
Sc -1.7154 4.4022 3.1692
```

Computed properties:
Symmetry: C2/c
DFT formation energy in eV/atom: 0.221
Offset from the most stable computed form in meV/atom: 41.1

***

## Pr7YSc4 (PBE)

Data for crystalline Pr7YSc4 at its relaxed geometry.

Geometry as extended XYZ:
```
12
Lattice="1.8709 -6.1654 -3.1338 7.8604 -4.8823 -2.0417 1.4611 -3.5626 7.9095" Properties=species:S:1:pos:R:3 pbc="T T T"
Pr 5.3800 -7.1632 -3.2978
Pr 5.8124 -7.4471 6.0318
Pr 5.0528 -9.7152 1.5860
Pr 6.1396 -4.8951 1.1480
Pr 7.4905 -7.5468 2.9617
Pr 0.9354 -3.0827 -1.5669
Pr 3.7019 -7.0635 -0.2277
Y 0.0000 0.0000 0.0000
Sc 7.2303 -8.0323 -0.4881
Sc 3.9621 -6.5780 3.2221
Sc 8.4939 -10.5723 1.3687
Sc 2.6985 -4.0380 1.3653
```

Computed properties:
Symmetry: P-1
DFT formation energy in eV/atom: 0.045

***

## PrYSc4 (PBE)

Data for crystalline PrYSc4 at its relaxed geometry.

Geometry as extended XYZ:
```
6
Lattice="6.3267 0.0000 0.0000 3.1633 5.4791 0.0000 3.1633 1.8264 5.1657" Properties=species:S:1:pos:R:3 pbc="T T T"
Pr 3.1633 1.8264 1.2914
Y 0.0000 0.0000 0.0000
Sc 6.3267 3.6527 0.6472
Sc 6.3267 1.8277 3.2281
Sc 7.9072 4.5652 3.2281
Sc 4.7462 4.5652 3.2281
```

Computed properties:
Symmetry: F-43m
DFT formation energy in eV/atom: 0.220
Offset from the most stable computed form in meV/atom: 149.2

***

## Pr4YSc2 (PBE)

Data for crystalline Pr4YSc2 at its relaxed geometry.

Geometry as extended XYZ:
```
14
Lattice="-6.9184 -5.1226 1.9349 0.5443 -2.9307 -5.8128 8.1124 -2.9833 2.2637" Properties=species:S:1:pos:R:3 pbc="T T T"
Pr -1.9054 -5.1654 -1.1936
Pr 6.8249 -4.9485 -2.3720
Pr -5.0866 -6.0882 0.7579
Pr -2.1699 -3.7409 1.6317
Pr 4.6859 -2.4629 -0.1548
Pr 3.9082 -7.2957 -3.2458
Pr 3.6437 -5.8713 -0.4205
Pr -2.9476 -8.5737 -1.4593
Y 0.8400 -4.2810 -3.2690
Y 0.8983 -6.7557 1.6549
Sc -5.0921 -6.2795 -2.8168
Sc 6.8304 -4.7571 1.2027
Sc 1.0165 -3.8175 0.1846
Sc 0.7218 -7.2191 -1.7987
```

Computed properties:
Symmetry: P2_1/m
DFT formation energy in eV/atom: 0.180
Offset from the most stable computed form in meV/atom: 0.0

***

## PrY2Sc5 (PBE)

Data for crystalline PrY2Sc5 at its relaxed geometry.

Geometry as extended XYZ:
```
8
Lattice="6.7357 0.0458 0.0653 -3.2764 5.8853 -0.0653 -3.2764 -2.0634 5.5121" Properties=species:S:1:pos:R:3 pbc="T T T"
Pr -5.0984 2.9736 4.2380
Y -0.0902 0.0526 4.3014
Y -0.0902 4.0270 1.5127
Sc -1.7298 2.9947 4.2680
Sc -3.4583 4.0029 1.4812
Sc -3.4583 0.0312 4.2680
Sc 1.5489 1.0851 1.5465
Sc -1.8185 1.0607 1.5116
```

Computed properties:
Symmetry: I4/mmm
DFT formation energy in eV/atom: 0.066

***

## Pr5Y2Sc (PBE)

Data for crystalline Pr5Y2Sc at its relaxed geometry.

Geometry as extended XYZ:
```
8
Lattice="3.6256 0.1726 -0.3534 -0.8500 9.0955 -4.2784 0.9158 -1.4066 8.7194" Properties=species:S:1:pos:R:3 pbc="T T T"
Pr -0.4250 4.5478 -2.1392
Pr 1.7279 3.0467 0.4036
Pr 1.9635 4.8148 3.6840
Pr 1.2874 7.7595 -1.8132
Pr 2.4040 0.1020 5.9008
Y -0.1797 6.1105 1.1341
Y 3.8711 1.7510 2.9534
Sc 0.0000 0.0000 0.0000
```

Computed properties:
Symmetry: Cmmm
DFT formation energy in eV/atom: 0.032

***

## Pr2YSc5 (PBE)

Data for crystalline Pr2YSc5 at its relaxed geometry.

Geometry as extended XYZ:
```
8
Lattice="-2.8915 -6.1313 0.1271 6.6538 0.4776 1.2119 -1.5062 4.4028 4.9311" Properties=species:S:1:pos:R:3 pbc="T T T"
Pr -0.7688 0.4915 4.2357
Pr 3.3112 -1.4711 2.3760
Y 4.0038 3.7959 4.7779
Sc 2.5578 0.7299 4.8413
Sc 4.7567 1.5942 2.3121
Sc 0.6765 3.5569 4.1718
Sc -0.0160 -1.7101 1.7697
Sc 1.4296 1.3554 1.7060
```

Computed properties:
Symmetry: I4/mmm
DFT formation energy in eV/atom: 0.073

***

## Pr2Y6Sc (PBE)

Data for crystalline Pr2Y6Sc at its relaxed geometry.

Geometry as extended XYZ:
```
18
Lattice="-2.6315 -5.4067 0.9490 7.4417 -3.7511 5.6963 -2.0544 1.5833 9.7555" Properties=species:S:1:pos:R:3 pbc="T T T"
Pr 1.4635 -3.2620 11.2179
Pr 0.6066 -0.4849 5.5638
Pr 1.2922 -4.3125 5.1828
Pr 2.1491 -7.0896 10.8369
Y 3.0140 -4.5870 8.3854
Y 3.7357 -1.7886 6.3961
Y -0.2583 -2.9875 8.0154
Y -0.9799 -5.7859 10.0047
Y -1.8544 -3.1485 4.3185
Y 0.7157 -5.6809 13.6590
Y 4.6102 -4.4261 12.0822
Y 2.0400 -1.8937 2.7418
Y 4.7553 -4.5947 4.8861
Y 6.3212 -4.2115 8.0458
Y -1.9996 -2.9798 11.5147
Y -3.5655 -3.3630 8.3549
Sc -1.7192 -0.3263 9.5682
Sc 4.4749 -7.2482 6.8325
```

Computed properties:
Symmetry: C2/c
DFT formation energy in eV/atom: 0.099
Offset from the most stable computed form in meV/atom: 23.5

***

## Pr5Y8Sc (PBE)

Data for crystalline Pr5Y8Sc at its relaxed geometry.

Geometry as extended XYZ:
```
14
Lattice="-1.3707 6.5646 -2.4181 -2.4382 -5.0038 -6.9517 -4.7404 -1.9192 8.0525" Properties=species:S:1:pos:R:3 pbc="T T T"
Pr -5.7031 -3.2876 5.2112
Pr -3.8409 0.6082 -6.2336
Pr -5.9173 0.6723 0.4215
Pr -3.7812 1.9657 2.6889
Pr -6.6668 -5.3951 -0.0632
Y -3.1482 -2.6575 -5.0645
Y -3.1203 -1.3293 3.7780
Y -3.1457 2.7516 -0.8764
Y -6.4243 -0.0343 4.0065
Y -4.5512 -0.1925 -2.7647
Y -7.4061 -2.1650 -1.1969
Y -2.4166 -0.5289 0.3502
Y -3.8646 -3.4329 -1.4977
Sc -5.2899 -2.5903 1.6315
```

Computed properties:
Symmetry: P1
DFT formation energy in eV/atom: 0.048

***

## PrY4Sc2 (PBE)

Data for crystalline PrY4Sc2 at its relaxed geometry.

Geometry as extended XYZ:
```
7
Lattice="-0.2892 -0.8544 -3.4046 5.2787 2.2899 -1.0230 0.9174 -11.2439 2.7438" Properties=species:S:1:pos:R:3 pbc="T T T"
Pr -0.2891 -0.8543 -3.4043
Y 1.0676 -3.0488 -1.1474
Y 4.8393 -6.7596 -0.5364
Y 2.5623 -7.9843 1.7860
Y 3.6337 -0.9698 -0.0654
Sc 2.8089 -5.3314 -2.5442
Sc 0.3141 -6.0492 -0.3304
```

Computed properties:
Symmetry: P2/m
DFT formation energy in eV/atom: 0.189
Offset from the most stable computed form in meV/atom: 47.5

***

## Pr8Y3Sc2 (PBE)

Data for crystalline Pr8Y3Sc2 at its relaxed geometry.

Geometry as extended XYZ:
```
13
Lattice="5.6972 0.0000 0.8077 0.0000 7.8442 0.0000 -1.4046 -3.9221 9.8752" Properties=species:S:1:pos:R:3 pbc="T T T"
Pr -0.5009 3.9221 3.5521
Pr 4.7934 0.0000 7.1308
Pr 5.3225 0.0000 3.4283
Pr -1.0299 3.9221 7.2546
Pr 1.7541 1.5974 8.0905
Pr 1.7541 -1.5974 8.0905
Pr 2.5385 5.5195 2.5924
Pr 2.5385 2.3248 2.5924
Y 2.8486 0.0000 0.4039
Y 0.0000 2.2544 0.0000
Y 0.0000 5.5898 0.0000
Sc 2.1715 0.0000 5.1274
Sc 2.1210 3.9221 5.5555
```

Computed properties:
Symmetry: C2/m
DFT formation energy in eV/atom: 0.208

***

Among the records above, which one has the lowest DFT formation energy?
Pr5Y2Sc

***

Which formula does entry 7 have?
Pr5Y2Sc

***

The lowest DFT formation energy belongs to which entry?
Pr5Y2Sc

***

Which value of DFT formation energy does entry 6 give?
0.066 eV/atom